(1)
SrH2Cl2 after structural relaxation, computed with PBE.

abc: 7.7025 4.4484 8.1175
angles: 90.00 104.54 90.00
With the nearest neighbours (Å) after each atom.
Space group C2/m (No. 12)
One atom of each set of equivalent atoms:
Sr1 0.0000 0.0000 0.0000 (multiplicity 2)  6 Cl 2.92
H1 0.0399 0.5000 0.4812 (multiplicity 4)  1 H 0.75
Cl1 0.2138 0.5000 0.1780 (multiplicity 4)  3 Sr 2.92, 1 H 3.08

Computed properties:
As for the mass density: 2.0 g/cm3. The raw total energy is -3.895 eV/atom. For the volume, the calculation gives 134.62 Å³/f.u. As for the energy above the most stable polymorph in this dataset: 0.0 kJ per mole of atoms.

(2)
HoScGa4 after structural relaxation, computed with PBE.

abc: 7.6439 7.6439 7.6439
angles: 90.00 90.00 90.00
With the nearest neighbours (Å) after each atom.
Space group F-43m (No. 216)
One atom of each set of equivalent atoms:
Ho1 0.0000 0.0000 0.0000 (multiplicity 4)  12 Ga 3.17, 4 Sc 3.31
Sc1 0.2500 0.2500 0.7500 (multiplicity 4)  12 Ga 3.17, 4 Ho 3.31
Ga1 0.1248 0.1248 0.3752 (multiplicity 16)  6 Ga 2.70-2.71

Computed properties:
As for the mass density: 7.3 g/cm3. The raw total energy is -4.354 eV/atom. The calculation puts the formation energy at -0.517 eV per atom. For the volume, the calculation gives 111.66 Å³/f.u. As for the energy above the most stable polymorph in this dataset: 5.2 kJ per mole of atoms.

(3)
AgSb2Se4 after structural relaxation, computed with PBE.

abc: 3.9784 6.8931 7.8014
angles: 112.37 104.66 90.01
With the nearest neighbours (Å) after each atom.
Space group P-1 (No. 2)
One atom of each set of equivalent atoms:
Ag1 0.0000 0.0000 0.0000 (multiplicity 1)  6 Se 2.75-3.07
Sb1 0.2552 0.2606 0.5113 (multiplicity 2)  6 Se 2.80-2.95
Se1 0.1301 0.4728 0.2588 (multiplicity 2)  3 Sb 2.80-2.82, 1 Ag 3.07
Se2 0.3768 0.0213 0.7557 (multiplicity 2)  2 Ag 2.75-2.76, 3 Sb 2.92-2.95

Computed properties:
As for the mass density: 5.8 g/cm3. The raw total energy is -3.760 eV/atom. For the volume, the calculation gives 190.28 Å³/f.u. The calculation puts the formation energy without anion corrections at -0.18 eV/atom. As for the energy above the most stable polymorph in this dataset: 0.0 kJ per mole of atoms.

(4)
MgScSi4 after structural relaxation, computed with PBE.

abc: 7.2282 7.2282 7.2282
angles: 90.00 90.00 90.00
With the nearest neighbours (Å) after each atom.
Space group F-43m (No. 216)
One atom of each set of equivalent atoms:
Mg1 0.0000 0.0000 0.0000 (multiplicity 4)  12 Si 3.00, 4 Sc 3.13
Sc1 0.2500 0.2500 0.7500 (multiplicity 4)  12 Si 3.00, 4 Mg 3.13
Si1 0.1248 0.1248 0.3752 (multiplicity 16)  6 Si 2.55-2.56

Computed properties:
As for the mass density: 3.2 g/cm3. The raw total energy is -5.043 eV/atom. For the volume, the calculation gives 94.41 Å³/f.u. The calculation puts the formation energy without anion corrections at -0.11 eV/atom.

(5)
Er2Al2Au after structural relaxation, computed with PBE.

abc: 10.6579 4.4590 10.5408
angles: 90.00 117.23 90.00
With the nearest neighbours (Å) after each atom.
Space group C2/m (No. 12)
One atom of each set of equivalent atoms:
Er1 0.0051 0.0000 0.3263 (multiplicity 4)  4 Au 3.05-3.37, 7 Al 3.08-3.37
Er2 0.1832 0.0000 0.1064 (multiplicity 4)  6 Al 3.10-3.17, 2 Au 3.20
Al1 0.0229 0.5000 0.8865 (multiplicity 4)  1 Au 2.63, 1 Al 2.65
Al2 0.1431 0.5000 0.5559 (multiplicity 4)  3 Au 2.60-2.79, 1 Al 2.72
Au1 0.2253 0.5000 0.3399 (multiplicity 4)  4 Al 2.60-2.79

Computed properties:
As for the mass density: 8.7 g/cm3. The raw total energy is -4.604 eV/atom. The calculation puts the formation energy at -0.626 eV per atom. For the volume, the calculation gives 111.36 Å³/f.u.

(6)
Zr5As3 after structural relaxation, computed with PBE.

abc: 5.4848 15.0658 7.9960
angles: 90.00 109.67 90.00
With the nearest neighbours (Å) after each atom.
Space group C2/m (No. 12)
One atom of each set of equivalent atoms:
Zr1 0.1072 0.1810 0.2073 (multiplicity 8)  4 As 2.80-2.87, 1 Zr 3.12
Zr2 0.1808 0.3963 0.3619 (multiplicity 8)  4 As 2.80-2.87, 1 Zr 3.13
Zr3 0.2496 0.0000 0.9990 (multiplicity 4)  2 Zr 2.74, 4 As 2.81
As1 0.0000 0.2496 0.5000 (multiplicity 4)  2 As 2.74, 8 Zr 2.80
As2 0.0000 0.3373 0.0000 (multiplicity 4)  8 Zr 2.81-3.14
As3 0.1623 0.0000 0.3254 (multiplicity 4)  6 Zr 2.81-2.87

Computed properties:
As for the mass density: 7.3 g/cm3. The raw total energy is -7.982 eV/atom. The calculation puts the formation energy at -0.896 eV per atom. For the volume, the calculation gives 155.54 Å³/f.u. As for the energy above the most stable polymorph in this dataset: 7.6 kJ per mole of atoms.

(7)
Pr2HoPd after structural relaxation, computed with PBE.

abc: 5.4160 5.4160 13.3008
angles: 90.00 90.00 120.00
With the nearest neighbours (Å) after each atom.
Space group R-3m (No. 166, hexagonal axes)
One atom of each set of equivalent atoms:
Pr1 0.0000 0.0000 0.2503 (multiplicity 6)  4 Pd 3.32-3.33, 4 Ho 3.32
Ho1 0.0000 0.0000 0.5000 (multiplicity 3)  8 Pr 3.32
Pd1 0.0000 0.0000 0.0000 (multiplicity 3)  8 Pr 3.32-3.33

Computed properties:
As for the mass density: 8.2 g/cm3. The raw total energy is -4.885 eV/atom. The calculation puts the formation energy at -0.053 eV per atom. For the volume, the calculation gives 112.63 Å³/f.u. As for the energy above the most stable polymorph in this dataset: 31.4 kJ per mole of atoms.

(8)
Pm4AuSe2Cl after structural relaxation, computed with PBE.

abc: 7.3108 4.0946 7.4195
angles: 90.00 108.19 90.00
With the nearest neighbours (Å) after each atom.
Space group P2/m (No. 10)
One atom of each set of equivalent atoms:
Pm1 0.2397 0.0000 0.2398 (multiplicity 2)  3 Se 2.91-2.98, 1 Au 2.98, 2 Cl 3.04
Pm2 0.2455 0.5000 0.7477 (multiplicity 2)  2 Au 2.95, 3 Se 2.97-3.00, 1 Cl 3.00
Au1 0.0000 0.0000 0.5000 (multiplicity 1)  6 Pm 2.95-2.98
Se1 0.0000 0.5000 0.0000 (multiplicity 1)  6 Pm 2.91-2.97
Se2 0.5000 0.0000 0.0000 (multiplicity 1)  6 Pm 2.98-3.00
Cl1 0.5000 0.5000 0.5000 (multiplicity 1)  6 Pm 3.00-3.04

Computed properties:
As for the mass density: 7.6 g/cm3. The raw total energy is -5.355 eV/atom. For the volume, the calculation gives 211.00 Å³/f.u. The calculation puts the formation energy without anion corrections at -1.47 eV/atom.